1.
HoHg2F8 GGA-PBE optimized geometry; space-group type = No. 147; VASP energy = -44.29 eV per cell
1.0
-0.052 4.405 -0.496
-5.853 0.368 3.883
6.303 0.423 3.090
F Ho Hg
8 1 2
Direct
0.241 0.667 0.333 F
0.759 0.333 0.667 F
0.745 0.847 0.152 F
0.255 0.152 0.305 F
0.255 0.695 0.847 F
0.255 0.153 0.848 F
0.745 0.848 0.695 F
0.745 0.305 0.153 F
0.000 0.000 0.000 Ho
0.259 0.333 0.667 Hg
0.741 0.667 0.333 Hg


2.
In2SiNi GGA-PBE optimized geometry; space-group type = No. 44; VASP energy = -16.39 eV per cell
1.0
6.522 0.001 0.007
4.355 4.855 -0.007
-5.025 -3.356 2.456
In Ni Si
2 1 1
Direct
0.000 0.000 0.000 In
0.699 0.199 0.500 In
0.478 0.478 0.000 Ni
0.323 0.823 0.500 Si


3.
K2SiSnAu6 GGA-PBE optimized geometry; space-group type = No. 139; VASP energy = -33.21 eV per cell
1.0
7.252 0.002 -0.001
0.002 7.254 -0.001
3.627 3.628 5.140
K Si Sn Au
2 1 1 6
Direct
0.750 0.250 0.500 K
0.250 0.750 0.500 K
0.000 0.000 0.000 Si
0.500 0.500 0.000 Sn
0.236 0.236 0.528 Au
0.764 0.764 0.000 Au
0.236 0.764 0.000 Au
0.764 0.236 0.000 Au
0.236 0.236 0.000 Au
0.764 0.764 0.472 Au


4.
Sr3Eu GGA-PBE optimized geometry; space-group type = No. 225; formation energy = 26 meV/atom
1.0
-4.192 4.799 1.773
-6.467 -1.285 0.523
-2.871 -0.151 5.957
Sr Eu
3 1
Direct
0.250 0.250 0.250 Sr
0.750 0.750 0.750 Sr
0.500 0.500 0.500 Sr
0.000 0.000 0.000 Eu


5.
In4SnGeSe8 GGA-PBE optimized geometry; space-group type = No. 160; VASP energy = -53.06 eV per cell
1.0
-4.786 0.504 6.717
-1.880 -6.829 4.255
3.307 -1.217 7.530
In Sn Ge Se
4 1 1 8
Direct
0.620 0.620 0.139 In
0.002 0.493 0.504 In
0.493 0.002 0.504 In
0.002 0.002 0.504 In
0.004 0.004 0.988 Sn
0.378 0.378 0.865 Ge
0.255 0.763 0.727 Se
0.763 0.255 0.727 Se
0.255 0.255 0.727 Se
0.239 0.239 0.284 Se
0.754 0.223 0.268 Se
0.223 0.754 0.268 Se
0.754 0.754 0.268 Se
0.758 0.758 0.726 Se


6.
MoRuRh GGA-PBE optimized geometry; space-group type = No. 216; formation energy = 374 meV/atom
1.0
-0.416 -4.029 1.005
-0.721 -2.830 -2.981
2.977 -2.730 -1.049
Mo Rh Ru
1 1 1
Direct
0.750 0.750 0.750 Mo
0.000 0.000 0.000 Rh
0.500 0.500 0.500 Ru


7.
BaZn GGA-PBE optimized geometry; space-group type = No. 217; formation energy = 190 meV/atom
1.0
-9.036 0.240 -3.462
3.459 -0.162 -9.039
-0.283 -9.675 0.066
Ba Zn
8 8
Direct
0.294 0.294 0.294 Ba
0.294 0.706 0.706 Ba
0.706 0.294 0.706 Ba
0.706 0.706 0.294 Ba
0.794 0.794 0.794 Ba
0.794 0.206 0.206 Ba
0.206 0.794 0.206 Ba
0.206 0.206 0.794 Ba
0.099 0.099 0.099 Zn
0.099 0.901 0.901 Zn
0.901 0.099 0.901 Zn
0.901 0.901 0.099 Zn
0.599 0.599 0.599 Zn
0.599 0.401 0.401 Zn
0.401 0.599 0.401 Zn
0.401 0.401 0.599 Zn


8.
RbPaIn2Br8 GGA-PBE optimized geometry; space-group type = No. 2; VASP energy = -44.12 eV per cell
1.0
-1.782 -2.612 -6.774
3.045 -6.631 1.872
-8.674 -3.029 3.465
Rb Pa In Br
1 1 2 8
Direct
0.000 0.000 0.500 Rb
0.000 0.000 0.000 Pa
0.499 0.499 0.726 In
0.501 0.501 0.274 In
0.132 0.779 0.198 Br
0.691 0.810 0.999 Br
0.867 0.219 0.197 Br
0.868 0.221 0.802 Br
0.309 0.190 0.001 Br
0.133 0.781 0.803 Br
0.636 0.723 0.500 Br
0.364 0.277 0.500 Br